DFT (PBE-GGA) results for a geometry-optimized Pm2Er3Th structure.

Results
- Formation energy from the elements: 0.135 eV/atom
- Symmetry: No. 12
- Uncorrected energy: -59.60 eV per cell
- Total magnetic moment: 0.00 Bohr magnetons per cell

The structure in extended XYZ format:
```
12
Lattice="-4.828 -1.715 2.845 0.996 -4.650 4.924 4.312 1.051 13.987" Properties=species:S:1:pos:R:3 pbc="T T T"
Pm -0.009 -2.395 16.650
Pm 0.488 -2.919 5.105
Pm -0.278 -1.084 10.948
Pm 0.757 -4.230 10.807
Er 3.764 -3.858 16.135
Er -3.284 -1.456 5.621
Er 1.936 -3.678 19.176
Er -1.456 -1.636 2.579
Er -1.192 -4.204 13.552
Er 1.671 -1.110 8.203
Th 1.728 -2.293 13.623
Th -1.249 -3.021 8.132
```